Entry 1:
# GGA-PBE Mg2Tl3In, optimized geometry
# Energy relative to the lowest polymorph listed for this composition: 8 meV per atom
# Magnetic moment: 0.0 μB per formula unit
# Energy relative to the elements: 44.3 meV/atom
# SG: P-4m2, No. 115
data_Mg2Tl3In
_chemical_formula_sum 'Mg2 Tl3 In1'
_space_group_name_H-M_alt 'P 1'
_space_group_IT_number 1
_space_group_name_Hall 'P 1'
_cell_length_a 4.379
_cell_length_b 4.379
_cell_length_c 8.524
_cell_angle_alpha 90.00
_cell_angle_beta 90.00
_cell_angle_gamma 90.00
loop_
_atom_site_label
_atom_site_type_symbol
_atom_site_fract_x
_atom_site_fract_y
_atom_site_fract_z
Mg1 Mg 0.500 0.000 0.730
Mg2 Mg 0.000 0.500 0.270
Tl1 Tl 0.500 0.000 0.368
Tl2 Tl 0.000 0.500 0.632
Tl3 Tl 0.000 0.000 0.000
In1 In 0.500 0.500 0.000

Entry 2:
# GGA-PBE Sr2In17, optimized geometry
# Magnetic moment: 0.0 μB per formula unit
# Energy relative to the elements: -91.6 meV/atom
# SG: R-3m, No. 166
data_Sr2In17
_chemical_formula_sum 'Sr2 In17'
_space_group_name_H-M_alt 'P 1'
_space_group_IT_number 1
_space_group_name_Hall 'P 1'
_cell_length_a 8.283
_cell_length_b 8.283
_cell_length_c 8.283
_cell_angle_alpha 81.92
_cell_angle_beta 81.92
_cell_angle_gamma 81.92
loop_
_atom_site_label
_atom_site_type_symbol
_atom_site_fract_x
_atom_site_fract_y
_atom_site_fract_z
Sr1 Sr 0.340 0.340 0.340
Sr2 Sr 0.660 0.660 0.660
In1 In 0.636 0.636 0.154
In2 In 0.154 0.636 0.636
In3 In 0.900 0.900 0.900
In4 In 0.100 0.100 0.100
In5 In 0.000 0.000 0.500
In6 In 0.000 0.500 0.000
In7 In 0.500 0.000 0.000
In8 In 0.296 0.704 0.000
In9 In 0.704 0.000 0.296
In10 In 0.000 0.296 0.704
In11 In 0.704 0.296 0.000
In12 In 0.296 0.000 0.704
In13 In 0.000 0.704 0.296
In14 In 0.846 0.364 0.364
In15 In 0.364 0.364 0.846
In16 In 0.364 0.846 0.364
In17 In 0.636 0.154 0.636

Entry 3:
# GGA-PBE BaNaTa, optimized geometry
# Energy relative to the lowest polymorph listed for this composition: 2119 meV per atom
# Magnetic moment: 4.0 μB per formula unit
# Energy relative to the elements: 2503.6 meV/atom
# SG: P6_3/mmc, No. 194
data_BaNaTa
_chemical_formula_sum 'Ba2 Na2 Ta2'
_space_group_name_H-M_alt 'P 1'
_space_group_IT_number 1
_space_group_name_Hall 'P 1'
_cell_length_a 6.425
_cell_length_b 6.425
_cell_length_c 12.855
_cell_angle_alpha 90.00
_cell_angle_beta 90.00
_cell_angle_gamma 120.00
loop_
_atom_site_label
_atom_site_type_symbol
_atom_site_fract_x
_atom_site_fract_y
_atom_site_fract_z
Na1 Na 0.333 0.667 0.250
Na2 Na 0.667 0.333 0.750
Ba1 Ba 0.000 0.000 0.250
Ba2 Ba 0.000 0.000 0.750
Ta1 Ta 0.000 0.000 0.000
Ta2 Ta 0.000 0.000 0.500

Entry 4:
# GGA-PBE NpTi3, optimized geometry
# Energy relative to the lowest polymorph listed for this composition: 0 meV per atom
# Magnetic moment: 2.5 μB per formula unit
# Energy relative to the elements: 158.5 meV/atom
# SG: Imm2, No. 44
data_NpTi3
_chemical_formula_sum 'Np1 Ti3'
_space_group_name_H-M_alt 'P 1'
_space_group_IT_number 1
_space_group_name_Hall 'P 1'
_cell_length_a 2.793
_cell_length_b 5.277
_cell_length_c 5.669
_cell_angle_alpha 117.73
_cell_angle_beta 104.26
_cell_angle_gamma 90.00
loop_
_atom_site_label
_atom_site_type_symbol
_atom_site_fract_x
_atom_site_fract_y
_atom_site_fract_z
Np1 Np 0.000 0.032 0.000
Ti1 Ti 0.239 0.534 0.477
Ti2 Ti 0.500 0.543 0.000
Ti3 Ti 0.761 0.057 0.523

Entry 5:
# GGA-PBE BeVMo, optimized geometry
# Energy relative to the lowest polymorph listed for this composition: 77 meV per atom
# Magnetic moment: 0.0 μB per formula unit
# Energy relative to the elements: 78.7 meV/atom
# SG: P3m1, No. 156
data_BeVMo
_chemical_formula_sum 'Be1 V1 Mo1'
_space_group_name_H-M_alt 'P 1'
_space_group_IT_number 1
_space_group_name_Hall 'P 1'
_cell_length_a 2.515
_cell_length_b 4.244
_cell_length_c 4.244
_cell_angle_alpha 120.00
_cell_angle_beta 90.00
_cell_angle_gamma 90.00
loop_
_atom_site_label
_atom_site_type_symbol
_atom_site_fract_x
_atom_site_fract_y
_atom_site_fract_z
Be1 Be 0.997 0.000 0.000
Mo1 Mo 0.663 0.333 0.667
V1 V 0.341 0.667 0.333

Entry 6:
# GGA-PBE Al2Cd3Au4, optimized geometry
# Energy relative to the lowest polymorph listed for this composition: 0 meV per atom
# Magnetic moment: 0.0 μB per formula unit
# Energy relative to the elements: -218.7 meV/atom
# SG: C2/m, No. 12
data_Al2Cd3Au4
_chemical_formula_sum 'Al2 Cd3 Au4'
_space_group_name_H-M_alt 'P 1'
_space_group_IT_number 1
_space_group_name_Hall 'P 1'
_cell_length_a 4.003
_cell_length_b 6.324
_cell_length_c 8.802
_cell_angle_alpha 117.79
_cell_angle_beta 90.00
_cell_angle_gamma 108.45
loop_
_atom_site_label
_atom_site_type_symbol
_atom_site_fract_x
_atom_site_fract_y
_atom_site_fract_z
Al1 Al 0.676 0.351 0.341
Al2 Al 0.324 0.649 0.659
Cd1 Cd 0.620 0.239 0.707
Cd2 Cd 0.000 0.000 0.000
Cd3 Cd 0.380 0.761 0.293
Au1 Au 0.697 0.394 0.072
Au2 Au 0.303 0.606 0.928
Au3 Au 0.915 0.831 0.579
Au4 Au 0.085 0.169 0.421

Entry 7:
# GGA-PBE BaTa2Al, optimized geometry
# Magnetic moment: 0.0 μB per formula unit
# Energy relative to the elements: 350.4 meV/atom
# SG: Pm, No. 6
data_BaTa2Al
_chemical_formula_sum 'Ba1 Ta2 Al1'
_space_group_name_H-M_alt 'P 1'
_space_group_IT_number 1
_space_group_name_Hall 'P 1'
_cell_length_a 3.851
_cell_length_b 3.075
_cell_length_c 8.609
_cell_angle_alpha 72.37
_cell_angle_beta 90.00
_cell_angle_gamma 90.00
loop_
_atom_site_label
_atom_site_type_symbol
_atom_site_fract_x
_atom_site_fract_y
_atom_site_fract_z
Al1 Al 0.000 0.578 0.428
Ba1 Ba 0.500 0.807 0.741
Ta1 Ta 0.000 0.890 0.078
Ta2 Ta 0.500 0.224 0.253

Entry 8:
# GGA-PBE PmDy2PaBi4, optimized geometry
# Magnetic moment: 1.1 μB per formula unit
# Energy relative to the elements: -668.8 meV/atom
# SG: I-4m2, No. 119
data_PmDy2PaBi4
_chemical_formula_sum 'Pm1 Dy2 Pa1 Bi4'
_space_group_name_H-M_alt 'P 1'
_space_group_IT_number 1
_space_group_name_Hall 'P 1'
_cell_length_a 6.369
_cell_length_b 6.369
_cell_length_c 7.793
_cell_angle_alpha 114.12
_cell_angle_beta 114.12
_cell_angle_gamma 90.00
loop_
_atom_site_label
_atom_site_type_symbol
_atom_site_fract_x
_atom_site_fract_y
_atom_site_fract_z
Pm1 Pm 0.500 0.500 0.000
Dy1 Dy 0.250 0.750 0.500
Dy2 Dy 0.000 0.000 0.000
Pa1 Pa 0.750 0.250 0.500
Bi1 Bi 0.998 0.498 0.997
Bi2 Bi 0.502 0.002 0.003
Bi3 Bi 0.753 0.753 0.505
Bi4 Bi 0.247 0.247 0.495